1.
VASP calculation (meta-GGA SCAN) on LiPm2Ru at its PBEsol-relaxed geometry.

The structure in POSCAR format:
```
LiPm2Ru
1.0
4.954 0.000 0.000
2.477 4.291 0.000
2.477 1.430 4.045
Li Pm Ru
1 2 1
Direct
0.000 0.000 0.000 Li
0.250 0.250 0.250 Pm
0.750 0.750 0.750 Pm
0.500 0.500 0.500 Ru
```

Values from the calculation:
Space group: No. 225
Volume: 86.0 Å³/cell
Uncorrected energy: -31.53 eV/atom

---

2.
VASP calculation (meta-GGA SCAN) on LiPm2Si at its PBEsol-relaxed geometry.

The structure in POSCAR format:
```
LiPm2Si
1.0
-1.485 -0.734 -4.765
2.979 -2.499 -3.214
-1.287 -4.623 -1.558
Pm Si Li
2 1 1
Direct
0.250 0.250 0.250 Pm
0.750 0.750 0.750 Pm
0.000 0.000 0.000 Si
0.500 0.500 0.500 Li
```

Values from the calculation:
Formation energy (no corrections): -0.378 eV/atom
Space group: No. 225
Volume: 90.8 Å³/cell

---

3.
VASP calculation (meta-GGA SCAN) on Li2PmSi at its PBEsol-relaxed geometry.

The structure in POSCAR format:
```
Li2PmSi
1.0
4.564 0.000 0.000
2.282 3.953 0.000
2.282 1.318 3.727
Pm Si Li
1 1 2
Direct
0.500 0.500 0.500 Pm
0.000 0.000 0.000 Si
0.750 0.750 0.750 Li
0.250 0.250 0.250 Li
```

Values from the calculation:
Formation energy (no corrections): -0.331 eV/atom
Space group: No. 225
Volume: 67.2 Å³/cell

---

4.
VASP calculation (meta-GGA SCAN) on LiPmTl2 at its PBEsol-relaxed geometry.

The structure in POSCAR format:
```
LiPmTl2
1.0
-2.971 -3.018 -2.970
1.122 -5.022 -0.523
-3.047 -3.571 2.173
Tl Li Pm
2 1 1
Direct
0.750 0.750 0.750 Tl
0.250 0.250 0.250 Tl
0.500 0.500 0.500 Li
0.000 0.000 0.000 Pm
```

Values from the calculation:
Space group: No. 225
Volume: 97.9 Å³/cell
Uncorrected energy: -48.28 eV/atom

---

5.
VASP calculation (meta-GGA SCAN) on Li2PmTl at its PBEsol-relaxed geometry.

The structure in POSCAR format:
```
Li2PmTl
1.0
4.852 0.000 0.000
2.426 4.202 0.000
2.426 1.401 3.962
Pm Tl Li
1 1 2
Direct
0.500 0.500 0.500 Pm
0.000 0.000 0.000 Tl
0.250 0.250 0.250 Li
0.750 0.750 0.750 Li
```

Values from the calculation:
Space group: No. 225
Volume: 80.8 Å³/cell
Uncorrected energy: -30.69 eV/atom

---

6.
VASP calculation (meta-GGA SCAN) on LiPr2Rh at its PBEsol-relaxed geometry.

The structure in POSCAR format:
```
LiPr2Rh
1.0
5.060 0.000 0.000
2.530 4.382 0.000
2.530 1.461 4.131
Pr Rh Li
2 1 1
Direct
0.250 0.250 0.250 Pr
0.750 0.750 0.750 Pr
0.500 0.500 0.500 Rh
0.000 0.000 0.000 Li
```

Values from the calculation:
Space group: No. 225
Volume: 91.6 Å³/cell
Uncorrected energy: -31.09 eV/atom

---

7.
VASP calculation (meta-GGA SCAN) on LiPr2Ru at its PBEsol-relaxed geometry.

The structure in POSCAR format:
```
LiPr2Ru
1.0
5.029 0.000 0.000
2.515 4.355 0.000
2.515 1.452 4.106
Pr Li Ru
2 1 1
Direct
0.250 0.250 0.250 Pr
0.750 0.750 0.750 Pr
0.500 0.500 0.500 Li
0.000 0.000 0.000 Ru
```

Values from the calculation:
Space group: No. 225
Volume: 90.0 Å³/cell
Uncorrected energy: -31.12 eV/atom

---

8.
VASP calculation (meta-GGA SCAN) on LiPrSn at its PBEsol-relaxed geometry.

The structure in POSCAR format:
```
LiPrSn
1.0
-0.850 6.946 -3.081
-9.204 -1.751 -1.410
2.881 3.952 8.114
Li Pr Sn
8 8 8
Direct
0.286 0.667 0.833 Li
0.786 0.833 0.667 Li
0.286 0.167 0.833 Li
0.679 0.333 0.667 Li
0.286 0.167 0.333 Li
0.179 0.667 0.333 Li
0.786 0.833 0.167 Li
0.786 0.333 0.167 Li
0.495 0.979 0.489 Pr
0.498 0.000 0.000 Pr
0.495 0.511 0.021 Pr
0.995 0.489 0.979 Pr
0.998 0.000 0.000 Pr
0.495 0.511 0.489 Pr
0.995 0.021 0.511 Pr
0.995 0.489 0.511 Pr
0.229 0.833 0.667 Sn
0.729 0.167 0.833 Sn
0.229 0.333 0.167 Sn
0.265 0.333 0.667 Sn
0.765 0.667 0.333 Sn
0.229 0.833 0.167 Sn
0.729 0.167 0.333 Sn
0.729 0.667 0.833 Sn
```

Values from the calculation:
Space group: No. 186
Volume: 594.4 Å³/cell
Uncorrected energy: -27.97 eV/atom

---

9.
VASP calculation (meta-GGA SCAN) on LiPrZn2 at its PBEsol-relaxed geometry.

The structure in POSCAR format:
```
LiPrZn2
1.0
4.833 0.000 0.000
2.416 4.185 0.000
2.416 1.395 3.946
Zn Pr Li
2 1 1
Direct
0.750 0.750 0.750 Zn
0.250 0.250 0.250 Zn
0.000 0.000 0.000 Pr
0.500 0.500 0.500 Li
```

Values from the calculation:
Space group: No. 225
Volume: 79.8 Å³/cell
Uncorrected energy: -18.49 eV/atom

---

10.
VASP calculation (meta-GGA SCAN) on LiPt2 at its PBEsol-relaxed geometry.

The structure in POSCAR format:
```
LiPt2
1.0
5.192 0.000 0.000
-2.596 4.496 0.000
0.000 0.000 16.922
Pt Li
16 8
Direct
0.500 0.000 0.500 Pt
0.000 0.500 0.500 Pt
0.333 0.667 0.625 Pt
0.326 0.163 0.250 Pt
0.667 0.333 0.125 Pt
0.333 0.667 0.875 Pt
0.500 0.000 0.000 Pt
0.000 0.500 0.000 Pt
0.667 0.333 0.375 Pt
0.500 0.500 0.500 Pt
0.837 0.163 0.250 Pt
0.163 0.326 0.750 Pt
0.674 0.837 0.750 Pt
0.500 0.500 0.000 Pt
0.837 0.674 0.250 Pt
0.163 0.837 0.750 Pt
0.000 0.000 0.589 Li
0.667 0.333 0.655 Li
0.333 0.667 0.345 Li
0.000 0.000 0.411 Li
0.000 0.000 0.911 Li
0.667 0.333 0.845 Li
0.333 0.667 0.155 Li
0.000 0.000 0.089 Li
```

Values from the calculation:
Space group: No. 194
Volume: 395.0 Å³/cell
Uncorrected energy: -48.10 eV/atom

---

11.
VASP calculation (meta-GGA SCAN) on LiPt at its PBEsol-relaxed geometry.

The structure in POSCAR format:
```
LiPt
1.0
-2.059 -1.325 -1.167
0.376 -0.168 2.681
-2.488 3.371 0.560
Li Pt
1 1
Direct
0.000 0.000 0.000 Li
0.667 0.333 0.500 Pt
```

Values from the calculation:
Space group: No. 187
Volume: 26.9 Å³/cell
Uncorrected energy: -37.00 eV/atom

---

12.
VASP calculation (meta-GGA SCAN) on LiPt3 at its PBEsol-relaxed geometry.

The structure in POSCAR format:
```
LiPt3
1.0
-2.648 -0.105 0.618
-0.029 -4.611 -0.909
1.029 0.706 4.531
Pt Li
3 1
Direct
0.500 0.000 0.500 Pt
0.500 0.500 0.000 Pt
0.000 0.500 0.500 Pt
0.000 0.000 0.000 Li
```

Values from the calculation:
Space group: No. 65
Volume: 56.6 Å³/cell
Uncorrected energy: -53.74 eV/atom

---

13.
VASP calculation (meta-GGA SCAN) on Li2Pt at its PBEsol-relaxed geometry.

The structure in POSCAR format:
```
Li2Pt
1.0
5.037 -0.057 0.000
-2.274 4.494 0.000
-1.381 -2.219 4.306
Li Pt
4 2
Direct
0.321 0.179 0.500 Li
0.179 0.679 0.858 Li
0.679 0.821 0.500 Li
0.821 0.321 0.142 Li
0.250 0.250 0.000 Pt
0.750 0.750 0.000 Pt
```

Values from the calculation:
Space group: No. 140
Volume: 96.9 Å³/cell
Uncorrected energy: -25.55 eV/atom

---

14.
VASP calculation (meta-GGA SCAN) on Li3Pt2 at its PBEsol-relaxed geometry.

The structure in POSCAR format:
```
Li3Pt2
1.0
2.731 0.000 0.000
1.366 2.365 0.000
1.366 0.788 10.969
Li Pt
3 2
Direct
0.793 0.793 0.620 Li
0.000 0.000 0.000 Li
0.207 0.207 0.380 Li
0.397 0.397 0.808 Pt
0.603 0.603 0.192 Pt
```

Values from the calculation:
Space group: No. 166
Volume: 70.9 Å³/cell
Uncorrected energy: -30.06 eV/atom

---

15.
VASP calculation (meta-GGA SCAN) on Li2Pt at its PBEsol-relaxed geometry.

The structure in POSCAR format:
```
Li2Pt
1.0
2.740 0.000 0.000
-1.370 2.373 0.000
0.000 0.000 6.759
Li Pt
2 1
Direct
0.667 0.333 0.306 Li
0.333 0.667 0.694 Li
0.000 0.000 0.000 Pt
```

Values from the calculation:
Space group: No. 164
Volume: 44.0 Å³/cell
Uncorrected energy: -25.44 eV/atom

---

16.
VASP calculation (meta-GGA SCAN) on Li2Pt at its PBEsol-relaxed geometry.

The structure in POSCAR format:
```
Li2Pt
1.0
-3.842 -0.485 -0.727
0.099 -4.544 2.507
-1.726 3.651 6.686
Li Pt
8 4
Direct
0.250 0.637 0.919 Li
0.250 0.137 0.581 Li
0.750 0.363 0.081 Li
0.250 0.608 0.257 Li
0.750 0.863 0.419 Li
0.750 0.892 0.757 Li
0.250 0.108 0.243 Li
0.750 0.392 0.743 Li
0.750 0.867 0.088 Pt
0.750 0.367 0.412 Pt
0.250 0.633 0.588 Pt
0.250 0.133 0.912 Pt
```

Values from the calculation:
Space group: No. 62
Volume: 159.8 Å³/cell
Uncorrected energy: -25.50 eV/atom

---

17.
VASP calculation (meta-GGA SCAN) on LiPt3 at its PBEsol-relaxed geometry.

The structure in POSCAR format:
```
LiPt3
1.0
-1.340 -3.710 -1.216
2.793 -1.809 2.443
-2.728 -0.029 3.098
Pt Li
3 1
Direct
0.000 0.500 0.000 Pt
0.000 0.000 0.500 Pt
0.500 0.000 0.000 Pt
0.000 0.000 0.000 Li
```

Values from the calculation:
Space group: No. 221
Volume: 70.3 Å³/cell
Uncorrected energy: -52.17 eV/atom

---

18.
VASP calculation (meta-GGA SCAN) on LiPt3 at its PBEsol-relaxed geometry.

The structure in POSCAR format:
```
LiPt3
1.0
2.721 0.000 0.000
0.000 4.523 0.000
0.000 0.000 4.649
Pt Li
3 1
Direct
0.500 0.000 0.473 Pt
0.000 0.500 0.358 Pt
0.500 0.500 0.859 Pt
0.000 0.000 0.976 Li
```

Values from the calculation:
Space group: No. 25
Volume: 57.2 Å³/cell
Uncorrected energy: -53.62 eV/atom

---

19.
VASP calculation (meta-GGA SCAN) on Li5Pt at its PBEsol-relaxed geometry.

The structure in POSCAR format:
```
Li5Pt
1.0
2.800 0.000 0.000
0.000 4.419 0.000
-1.400 0.000 7.621
Li Pt
5 1
Direct
0.660 0.000 0.320 Li
0.540 0.500 0.081 Li
0.342 0.000 0.685 Li
0.248 0.500 0.496 Li
0.983 0.000 0.966 Li
0.893 0.500 0.786 Pt
```

Values from the calculation:
Space group: No. 38
Volume: 94.3 Å³/cell
Uncorrected energy: -13.99 eV/atom

---

20.
VASP calculation (meta-GGA SCAN) on LiPt3 at its PBEsol-relaxed geometry.

The structure in POSCAR format:
```
LiPt3
1.0
-1.274 -1.711 1.652
4.114 -1.240 1.890
-0.376 4.303 1.965
Pt Li
3 1
Direct
0.249 0.752 0.498 Pt
0.751 0.248 0.502 Pt
0.500 0.500 0.000 Pt
0.000 0.000 0.000 Li
```

Values from the calculation:
Space group: No. 12
Volume: 57.0 Å³/cell
Uncorrected energy: -53.63 eV/atom